Computed, not measured: an optimized crystal structure of KSrAg2Br8 at the GGA-PBE level of DFT.

Cell: 7.709 7.709 8.638 Å, 116.50 116.50 90.00°
Atoms (fractional coordinates):
K 0.750 0.250 0.500
Sr 0.000 0.000 0.000
Ag 0.500 0.500 0.000
Ag 0.250 0.750 0.500
Br 0.655 0.839 0.049
Br 0.394 0.210 0.049
Br 0.591 0.711 0.540
Br 0.950 0.829 0.540
Br 0.171 0.409 0.460
Br 0.289 0.050 0.460
Br 0.161 0.606 0.951
Br 0.790 0.345 0.951

DOS at the Fermi energy = 4.64 states/eV per cell
ΔE_f (raw) = -9.9 eV per formula unit
DFT total energy = -31.81 eV for the cell shown

Computed, not measured: an optimized crystal structure of K2SrAg2Br6 at the GGA-PBE level of DFT.

Cell: 8.190 8.168 7.998 Å, 114.49 90.00 120.09°
Atoms (fractional coordinates):
K 0.738 0.475 0.175
K 0.262 0.525 0.825
Sr 0.500 0.000 0.500
Ag 0.943 0.885 0.788
Ag 0.057 0.115 0.212
Br 0.734 0.467 0.579
Br 0.177 0.854 0.175
Br 0.323 0.146 0.825
Br 0.823 0.146 0.825
Br 0.677 0.854 0.175
Br 0.266 0.533 0.421

DOS at the Fermi energy = 0.00 states/eV per cell
ΔE_f (raw) = -14.4 eV per formula unit
DFT total energy = -33.97 eV for the cell shown

Computed, not measured: an optimized crystal structure of KSr2AgBr6 at the GGA-PBE level of DFT.

Cell: 7.787 7.788 8.296 Å, 62.00 61.98 59.97°
Atoms (fractional coordinates):
K 0.808 0.808 0.577
Sr 0.517 0.517 0.449
Sr 0.010 0.010 0.970
Ag 0.319 0.319 0.043
Br 0.596 0.234 0.240
Br 0.234 0.930 0.240
Br 0.931 0.596 0.240
Br 0.387 0.719 0.752
Br 0.719 0.142 0.753
Br 0.142 0.387 0.753

DOS at the Fermi energy = 0.00 states/eV per cell
ΔE_f (raw) = -16.6 eV per formula unit
DFT total energy = -33.96 eV for the cell shown

Computed, not measured: an optimized crystal structure of K2SrAgBr6 at the GGA-PBE level of DFT.

Cell: 7.765 7.687 8.502 Å, 116.58 121.74 89.99°
Atoms (fractional coordinates):
K 0.737 0.234 0.521
K 0.264 0.715 0.480
Sr 0.500 0.502 0.000
Ag 0.999 0.996 0.998
Br 0.709 0.678 0.853
Br 0.847 0.779 0.475
Br 0.300 0.302 0.133
Br 0.694 0.164 0.865
Br 0.153 0.304 0.525
Br 0.296 0.829 0.147

DOS at the Fermi energy = 4.82 states/eV per cell
ΔE_f (raw) = -13.5 eV per formula unit
DFT total energy = -30.29 eV for the cell shown